Record 1
The following is a DFT calculation (GGA-PBEsol) of a relaxed structure of CoIrS2Cl.

The structure in POSCAR format:
```
CoIrS2Cl
1.0
4.5277 0.0000 0.0000
0.0000 4.5277 0.0000
0.0000 0.0000 4.8785
Co Ir S Cl
1 1 2 1
Cartesian
0.0000 0.0000 0.0000
2.2638 2.2638 2.4393
0.0000 2.2638 2.4393
2.2638 0.0000 2.4393
2.2638 2.2638 0.0000
```

Values from the calculation:
Crystal system ... tetragonal
Size of the total moment ... 2.86 μB/cell
Density ... 5.8 g/cm3
Fermi-level density of states ... 5.88 states/eV per cell
Symmetry ... No. 123
Formation energy from raw total energies ... 4.4 eV/f.u.

Record 2
The following is a DFT calculation (GGA-PBEsol) of a relaxed structure of Sc2CoIrCl.

The structure in POSCAR format:
```
Sc2CoIrCl
1.0
4.5918 0.0000 0.0000
0.0000 4.5918 0.0000
0.0000 0.0000 4.3388
Sc Co Ir Cl
2 1 1 1
Cartesian
0.0000 2.2959 0.0000
2.2959 0.0000 0.0000
0.0000 0.0000 2.1694
2.2959 2.2959 2.1694
2.2959 2.2959 0.0000
```

Values from the calculation:
Crystal system ... tetragonal
Size of the total moment ... 1.25 μB/cell
Density ... 6.8 g/cm3
Fermi-level density of states ... 6.89 states/eV per cell
Symmetry ... No. 123
Formation energy from raw total energies ... 1.5 eV/f.u.

Record 3
The following is a DFT calculation (GGA-PBEsol) of a relaxed structure of ZrCoIr2Cl.

The structure in POSCAR format:
```
ZrCoIr2Cl
1.0
4.3488 0.0000 0.0000
0.0000 4.3488 0.0000
0.0000 0.0000 4.5300
Zr Co Ir Cl
1 1 2 1
Cartesian
0.0000 0.0000 0.0000
2.1744 2.1744 0.0000
0.0000 2.1744 2.2650
2.1744 0.0000 2.2650
0.0000 0.0000 2.2650
```

Values from the calculation:
Crystal system ... tetragonal
Size of the total moment ... 1.52 μB/cell
Density ... 11.0 g/cm3
Fermi-level density of states ... 6.61 states/eV per cell
Symmetry ... No. 123
Formation energy from raw total energies ... 5.0 eV/f.u.

Record 4
The following is a DFT calculation (GGA-PBEsol) of a relaxed structure of KCo2Cl.

The structure in POSCAR format:
```
KCo2Cl
1.0
2.6462 -5.9421 0.0000
2.6462 5.9421 0.0000
-1.7903 0.0000 2.5114
K Co Cl
1 2 1
Cartesian
0.0000 0.0000 0.0000
0.4279 2.9711 1.2557
0.4279 -2.9711 1.2557
2.6462 0.0000 0.0000
```

Values from the calculation:
Crystal system ... monoclinic
Size of the total moment ... 4.08 μB/cell
Density ... 4.0 g/cm3
Fermi-level density of states ... 5.82 states/eV per cell
Relative energy among the computed polymorphs ... 0.204 eV/atom
Symmetry ... No. 12
Formation energy from raw total energies ... 2.4 eV/f.u.

Record 5
The following is a DFT calculation (GGA-PBEsol) of a relaxed structure of K2CoCl.

The structure in POSCAR format:
```
K2CoCl
1.0
5.2572 0.0000 0.0000
0.0000 1.9601 5.9837
0.0000 -1.9601 5.9837
K Co Cl
2 1 1
Cartesian
0.0000 0.0000 0.0000
2.6286 0.0000 2.9075
0.0000 0.0000 8.7424
2.6286 0.0000 6.2152
```

Values from the calculation:
Crystal system ... orthorhombic
Size of the total moment ... 2.00 μB/cell
Density ... 2.3 g/cm3
Fermi-level density of states ... 1.20 states/eV per cell
Relative energy among the computed polymorphs ... 0.000 eV/atom
Symmetry ... No. 38
Formation energy from raw total energies ... 0.0 eV/f.u.

Record 6
The following is a DFT calculation (GGA-PBEsol) of a relaxed structure of K2CoCl.

The structure in POSCAR format:
```
K2CoCl
1.0
3.2126 -3.2163 0.0000
3.2126 3.2163 0.0000
0.0000 0.0000 6.4979
K Co Cl
2 1 1
Cartesian
0.0000 0.0000 0.0000
3.2126 0.0000 3.2490
0.0000 0.0000 3.2490
3.2126 0.0000 0.0000
```

Values from the calculation:
Crystal system ... orthorhombic
Size of the total moment ... 2.00 μB/cell
Density ... 2.1 g/cm3
Fermi-level density of states ... 0.04 states/eV per cell
Relative energy among the computed polymorphs ... 0.006 eV/atom
Symmetry ... No. 65
Formation energy from raw total energies ... 0.1 eV/f.u.

Record 7
The following is a DFT calculation (GGA-PBEsol) of a relaxed structure of KCo2Cl.

The structure in POSCAR format:
```
KCo2Cl
1.0
-1.5804 2.9792 4.6594
1.5804 -2.9792 4.6594
1.5804 2.9792 -4.6594
K Co Cl
1 2 1
Cartesian
0.0000 0.0000 0.0000
1.5804 0.0000 3.4289
0.0000 0.0000 4.9177
0.0000 2.9792 1.9687
```

Values from the calculation:
Crystal system ... orthorhombic
Size of the total moment ... 3.69 μB/cell
Density ... 3.6 g/cm3
Fermi-level density of states ... 3.12 states/eV per cell
Relative energy among the computed polymorphs ... 0.000 eV/atom
Symmetry ... No. 44
Formation energy from raw total energies ... 1.6 eV/f.u.

Record 8
The following is a DFT calculation (GGA-PBEsol) of a relaxed structure of KCoS2Cl.

The structure in POSCAR format:
```
KCoS2Cl
1.0
5.3938 0.0000 0.0000
0.0000 5.3938 0.0000
0.0000 0.0000 5.3183
K Co S Cl
1 1 2 1
Cartesian
0.0000 0.0000 0.0000
2.6969 2.6969 2.6592
0.0000 2.6969 0.0000
2.6969 0.0000 0.0000
0.0000 0.0000 2.6592
```

Values from the calculation:
Crystal system ... tetragonal
Size of the total moment ... 5.02 μB/cell
Density ... 2.1 g/cm3
Fermi-level density of states ... 5.97 states/eV per cell
Symmetry ... No. 123
Formation energy from raw total energies ... 6.9 eV/f.u.

Record 9
The following is a DFT calculation (GGA-PBEsol) of a relaxed structure of La2CoCl.

The structure in POSCAR format:
```
La2CoCl
1.0
1.9736 1.1395 7.4781
-1.9736 1.1395 7.4781
0.0000 -2.2789 7.4781
La Co Cl
2 1 1
Cartesian
0.0000 0.0000 5.2566
0.0000 0.0000 17.1777
0.0000 0.0000 11.2171
0.0000 0.0000 0.0000
```

Values from the calculation:
Crystal system ... trigonal
Size of the total moment ... 0.00 μB/cell
Density ... 6.1 g/cm3
Fermi-level density of states ... 1.25 states/eV per cell
Relative energy among the computed polymorphs ... 0.000 eV/atom
Symmetry ... No. 166
Formation energy from raw total energies ... -3.7 eV/f.u.

Record 10
The following is a DFT calculation (GGA-PBEsol) of a relaxed structure of La2CoCl.

The structure in POSCAR format:
```
La2CoCl
1.0
-1.9603 1.9603 5.7358
1.9603 -1.9603 5.7358
1.9603 1.9603 -5.7358
La Co Cl
2 1 1
Cartesian
0.0000 0.0000 0.0000
0.0000 1.9603 2.8679
1.9603 0.0000 2.8679
0.0000 0.0000 5.7358
```

Values from the calculation:
Crystal system ... tetragonal
Size of the total moment ... 0.00 μB/cell
Density ... 7.0 g/cm3
Fermi-level density of states ... 2.25 states/eV per cell
Relative energy among the computed polymorphs ... 0.386 eV/atom
Symmetry ... No. 119
Formation energy from raw total energies ... -2.1 eV/f.u.

Record 11
The following is a DFT calculation (GGA-PBEsol) of a relaxed structure of LaCo2Cl.

The structure in POSCAR format:
```
LaCo2Cl
1.0
3.6311 0.0000 0.0000
0.0000 3.9162 0.0000
0.0000 0.0000 5.2483
La Co Cl
1 2 1
Cartesian
0.0000 0.0000 0.0000
0.0000 1.9581 2.6242
1.8156 0.0000 2.6242
1.8156 1.9581 0.0000
```

Values from the calculation:
Crystal system ... orthorhombic
Size of the total moment ... 2.97 μB/cell
Density ... 6.5 g/cm3
Fermi-level density of states ... 4.70 states/eV per cell
Symmetry ... No. 47
Formation energy from raw total energies ... 0.3 eV/f.u.

Record 12
The following is a DFT calculation (GGA-PBEsol) of a relaxed structure of Li2CoCl4.

The structure in POSCAR format:
```
Li2CoCl4
1.0
3.5913 -5.0631 0.0000
3.5913 5.0631 0.0000
0.0000 0.0000 3.4774
Li Co Cl
2 1 4
Cartesian
1.7957 2.5316 0.0000
1.7957 -2.5316 0.0000
0.0000 0.0000 1.7387
1.6482 0.0000 0.0000
3.5913 2.6503 1.7387
3.5913 -2.6503 1.7387
5.5345 0.0000 0.0000
```

Values from the calculation:
Crystal system ... orthorhombic
Size of the total moment ... 3.00 μB/cell
Density ... 2.8 g/cm3
Fermi-level density of states ... 7.86 states/eV per cell
Symmetry ... No. 65
Formation energy from raw total energies ... -8.7 eV/f.u.

Record 13
The following is a DFT calculation (GGA-PBEsol) of a relaxed structure of LiCo2Cl.

The structure in POSCAR format:
```
LiCo2Cl
1.0
2.3246 -4.1234 0.0000
2.3246 4.1234 0.0000
0.0000 0.0000 2.6977
Li Co Cl
1 2 1
Cartesian
0.0000 0.0000 0.0000
1.1623 2.0617 1.3489
1.1623 -2.0617 1.3489
2.3246 0.0000 0.0000
```

Values from the calculation:
Crystal system ... orthorhombic
Size of the total moment ... 3.30 μB/cell
Density ... 5.1 g/cm3
Fermi-level density of states ... 4.22 states/eV per cell
Relative energy among the computed polymorphs ... 0.499 eV/atom
Symmetry ... No. 65
Formation energy from raw total energies ... 2.0 eV/f.u.

Record 14
The following is a DFT calculation (GGA-PBEsol) of a relaxed structure of LiCo2Cl.

The structure in POSCAR format:
```
LiCo2Cl
1.0
1.3886 0.8017 7.8310
-1.3886 0.8017 7.8310
0.0000 -1.6034 7.8310
Li Co Cl
1 2 1
Cartesian
0.0000 0.0000 0.0000
0.0000 0.0000 5.6932
0.0000 0.0000 17.8000
0.0000 0.0000 11.7466
```

Values from the calculation:
Crystal system ... trigonal
Size of the total moment ... 3.51 μB/cell
Density ... 5.1 g/cm3
Fermi-level density of states ... 5.40 states/eV per cell
Relative energy among the computed polymorphs ... 0.442 eV/atom
Symmetry ... No. 166
Formation energy from raw total energies ... 1.8 eV/f.u.

Record 15
The following is a DFT calculation (GGA-PBEsol) of a relaxed structure of LiCo2Cl.

The structure in POSCAR format:
```
LiCo2Cl
1.0
0.0000 2.2979 5.5329
2.2943 0.0000 5.5329
2.2943 2.2979 0.0000
Li Co Cl
1 2 1
Cartesian
0.0000 0.0000 0.0000
1.1472 0.0000 2.7665
1.1472 2.2979 2.7665
2.2943 2.2979 5.5329
```

Values from the calculation:
Crystal system ... orthorhombic
Size of the total moment ... 3.85 μB/cell
Density ... 4.6 g/cm3
Fermi-level density of states ... 3.22 states/eV per cell
Relative energy among the computed polymorphs ... 0.091 eV/atom
Symmetry ... No. 69
Formation energy from raw total energies ... 0.4 eV/f.u.

Number 1: calculated total energy -4.79 eV per atom. Number 2: calculated total energy -6.26 eV per atom. Number 3: calculated total energy -6.70 eV per atom. Number 4: calculated total energy -4.05 eV per atom. Number 5: calculated total energy -2.99 eV per atom. Number 6: calculated total energy -2.99 eV per atom. Number 7: calculated total energy -4.25 eV per atom. Number 8: calculated total energy -2.55 eV per atom. Number 9: calculated total energy -6.02 eV per atom. Number 10: calculated total energy -5.64 eV per atom. Number 11: calculated total energy -5.63 eV per atom. Number 12: calculated total energy -4.06 eV per atom. Number 13: calculated total energy -4.35 eV per atom. Number 14: calculated total energy -4.41 eV per atom. Number 15: calculated total energy -4.76 eV per atom.